The following is a DFT calculation (GGA-PBE) of crystalline ZrZn2Sb at its relaxed geometry.

Computed properties:
Formation energy (no corrections) in meV per atom: -128.7
E_tot in eV per atom: -3.933

Cell: 5.0109 3.1600 5.3984 Å, 90.00 110.99 90.00°
Space group P2/m (No. 10)
Asymmetric unit:
Zr 0.0000 0.0000 0.0000 (multiplicity 1)
Zn 0.0000 0.5000 0.5000 (multiplicity 1)
Zn 0.5000 0.0000 0.5000 (multiplicity 1)
Sb 0.5000 0.5000 0.0000 (multiplicity 1)